RbSbPtI2 | Alexandria via LeMat-Bulk | PBE-GGA | relaxed; formation energy without anion corrections = 1205 meV per atom; E_tot = -1.64 eV per atom; crystal system = tetragonal
1.0
6.6904 0.0000 0.0000
0.0000 6.6904 0.0000
0.0000 0.0000 7.2114
Rb Sb Pt I
1 1 1 2
direct
0.0000 0.0000 0.0000
0.0000 0.0000 0.5000
0.5000 0.5000 0.5000
0.0000 0.5000 0.0000
0.5000 0.0000 0.0000



RbSb2PtI | Alexandria via LeMat-Bulk | PBE-GGA | relaxed; formation energy without anion corrections = -192 meV per atom; E_tot = -3.55 eV per atom; crystal system = tetragonal
1.0
5.0929 0.0000 0.0000
0.0000 5.0929 0.0000
0.0000 0.0000 10.4701
Rb Sb Pt I
1 2 1 1
direct
0.0000 0.0000 0.0000
0.0000 0.5000 0.5000
0.5000 0.0000 0.5000
0.5000 0.5000 0.5000
0.5000 0.5000 0.0000



RbSb2PtI | Alexandria via LeMat-Bulk | PBE-GGA | relaxed; formation energy without anion corrections = 1712 meV per atom; E_tot = -1.65 eV per atom; crystal system = tetragonal
1.0
6.1210 0.0000 0.0000
0.0000 6.1210 0.0000
0.0000 0.0000 6.1146
Rb Sb Pt I
1 2 1 1
direct
0.0000 0.0000 0.0000
0.0000 0.5000 0.0000
0.5000 0.0000 0.0000
0.5000 0.5000 0.5000
0.0000 0.0000 0.5000



Rb2ScPtI6 | Alexandria via LeMat-Bulk | PBE-GGA | relaxed; formation energy without anion corrections = -904 meV per atom; E_tot = -3.26 eV per atom; crystal system = tetragonal
1.0
-4.1453 4.1453 5.7174
4.1453 -4.1453 5.7174
4.1453 4.1453 -5.7174
Rb Sc Pt I
2 1 1 6
direct
0.2500 0.7500 0.5000
0.7500 0.2500 0.5000
0.0000 0.0000 0.0000
0.5000 0.5000 0.0000
0.2490 0.2490 0.4980
0.2490 0.7510 0.0000
0.2566 0.2566 0.0000
0.7434 0.7434 0.0000
0.7510 0.2490 0.0000
0.7510 0.7510 0.5020



Rb2PtSeI6 | Alexandria via LeMat-Bulk | PBE-GGA | relaxed; formation energy without anion corrections = -610 meV per atom; E_tot = -2.69 eV per atom; crystal system = tetragonal
1.0
-4.1111 4.1111 5.7357
4.1111 -4.1111 5.7357
4.1111 4.1111 -5.7357
Rb Pt Se I
2 1 1 6
direct
0.2500 0.7500 0.5000
0.7500 0.2500 0.5000
0.0000 0.0000 0.0000
0.5000 0.5000 0.0000
0.2378 0.2378 0.4756
0.2378 0.7622 0.0000
0.2422 0.2422 0.0000
0.7578 0.7578 0.0000
0.7622 0.2378 0.0000
0.7622 0.7622 0.5244



Rb2TaPtI6 | Alexandria via LeMat-Bulk | PBE-GGA | relaxed; formation energy without anion corrections = -507 meV per atom; E_tot = -3.42 eV per atom; crystal system = tetragonal
1.0
-3.9720 3.9720 6.2721
3.9720 -3.9720 6.2721
3.9720 3.9720 -6.2721
Rb Ta Pt I
2 1 1 6
direct
0.2500 0.7500 0.5000
0.7500 0.2500 0.5000
0.0000 0.0000 0.0000
0.5000 0.5000 0.0000
0.2265 0.2265 0.0000
0.2536 0.2536 0.5072
0.2536 0.7464 0.0000
0.7464 0.2536 0.0000
0.7464 0.7464 0.4928
0.7735 0.7735 0.0000



Rb2TePtI6 | Alexandria via LeMat-Bulk | PBE-GGA | relaxed; formation energy without anion corrections = -637 meV per atom; E_tot = -2.68 eV per atom; crystal system = tetragonal
1.0
-4.1922 4.1922 5.8860
4.1922 -4.1922 5.8860
4.1922 4.1922 -5.8860
Rb Te Pt I
2 1 1 6
direct
0.2500 0.7500 0.5000
0.7500 0.2500 0.5000
0.0000 0.0000 0.0000
0.5000 0.5000 0.0000
0.2636 0.2636 0.0000
0.2654 0.2654 0.5309
0.2654 0.7346 0.0000
0.7346 0.2654 0.0000
0.7346 0.7346 0.4691
0.7364 0.7364 0.0000



Rb2TlPtI6 | Alexandria via LeMat-Bulk | PBE-GGA | relaxed; formation energy without anion corrections = -729 meV per atom; E_tot = -2.69 eV per atom; crystal system = tetragonal
1.0
-4.2349 4.2349 6.0086
4.2349 -4.2349 6.0086
4.2349 4.2349 -6.0086
Rb Tl Pt I
2 1 1 6
direct
0.2500 0.7500 0.5000
0.7500 0.2500 0.5000
0.0000 0.0000 0.0000
0.5000 0.5000 0.0000
0.2692 0.2692 0.0000
0.2696 0.2696 0.5391
0.2696 0.7304 0.0000
0.7304 0.2696 0.0000
0.7304 0.7304 0.4609
0.7308 0.7308 0.0000